1.
The following is a PBE calculation of a geometry-optimized LaTlBr2 structure, from Alexandria.

Output
energy above the lowest structure with this stoichiometry = 62 meV per atom
total magnetic moment = 0.00 μB/f.u.
ΔE_f (raw) = -1123.2 meV per atom
E_tot = -15.13 eV per cell

Lattice parameters (Å, degrees): 6.8723 6.8723 6.8723 146.86 127.00 63.95
Closest atoms and distances in Å follow each position.
Sites, in units of the cell vectors:
1 Br 0.9441 0.9441 0.0000  2 La 2.99
2 Br 0.5559 0.5559 0.0000  2 La 2.99
3 La 0.7500 0.2500 0.5000  4 Br 2.99
4 Tl 0.2500 0.7500 0.5000  4 La 3.64, 8 Br 3.81-4.07, 2 Tl 3.92

=====

2.
The following is a PBE calculation of a geometry-optimized La5Tl2Br structure, from Alexandria.

Output
total magnetic moment = 0.00 μB/f.u.
ΔE_f (raw) = -526.8 meV per atom
E_tot = -70.51 eV per cell

Lattice parameters (Å, degrees): 4.5564 9.2223 12.7893 90.00 90.00 90.00
Closest atoms and distances in Å follow each position.
Sites, in units of the cell vectors:
1 La 0.0000 0.3481 0.2915  1 Br 3.01
2 Tl 0.5000 0.9229 0.6831  7 La 3.34-3.41
3 La 0.0000 0.6519 0.7085  1 Br 3.01
4 La 0.0000 0.0000 0.5000  4 Tl 3.34, 4 La 3.65
5 Br 0.0000 0.0000 0.0000  6 La 3.01-3.08
6 Tl 0.5000 0.4229 0.8169  7 La 3.34-3.41
7 La 0.5000 0.7045 0.4336  2 Br 3.08, 1 Tl 3.41
8 La 0.5000 0.7955 0.9336  2 Br 3.08, 1 Tl 3.41
9 La 0.0000 0.8481 0.2085  1 Br 3.01
10 Br 0.0000 0.5000 0.5000  6 La 3.01-3.08
11 La 0.5000 0.2955 0.5664  2 Br 3.08, 1 Tl 3.41
12 La 0.5000 0.2045 0.0664  2 Br 3.08, 1 Tl 3.41
13 La 0.0000 0.5000 0.0000  4 Tl 3.34, 4 La 3.65
14 La 0.0000 0.1519 0.7915  1 Br 3.01
15 Tl 0.5000 0.5771 0.1831  7 La 3.34-3.41
16 Tl 0.5000 0.0771 0.3169  7 La 3.34-3.41

=====

3.
The following is a PBE calculation of a geometry-optimized LaTlBr structure, from Alexandria.

Output
energy above the lowest structure with this stoichiometry = 321 meV per atom
total magnetic moment = 0.00 μB/f.u.
ΔE_f (raw) = -763.2 meV per atom
E_tot = -11.26 eV per cell

Lattice parameters (Å, degrees): 8.1306 8.1304 3.7173 76.79 76.78 26.43
Closest atoms and distances in Å follow each position.
Sites, in units of the cell vectors:
1 Tl 0.6997 0.6997 0.3003  4 La 3.43, 4 Tl 3.72
2 La 0.3430 0.3430 0.6570  4 Br 3.16, 4 Tl 3.43
3 Br 0.9573 0.9573 0.0427  4 La 3.16

=====

4.
The following is a PBE calculation of a geometry-optimized La2TlBr structure, from Alexandria.

Output
energy above the lowest structure with this stoichiometry = 38 meV per atom
total magnetic moment = 0.00 μB/f.u.
ΔE_f (raw) = -823.7 meV per atom
E_tot = -17.19 eV per cell

Lattice parameters (Å, degrees): 3.7076 3.7076 8.5649 90.00 90.00 90.02
Closest atoms and distances in Å follow each position.
Sites, in units of the cell vectors:
1 Tl 0.5000 0.5000 0.2500  8 La 3.37, 4 Tl 3.71
2 La 0.0000 0.0000 0.4974  4 Tl 3.37, 4 Br 3.40, 4 La 3.71
3 Br 0.5000 0.5000 0.7500  8 La 3.40, 4 Br 3.71
4 La 0.0000 0.0000 0.0026  4 Tl 3.37, 4 Br 3.40, 4 La 3.71

=====

5.
The following is a PBE calculation of a geometry-optimized LaTl2Br structure, from Alexandria.

Output
energy above the lowest structure with this stoichiometry = 116 meV per atom
total magnetic moment = 0.00 μB/f.u.
ΔE_f (raw) = -565.4 meV per atom
E_tot = -13.59 eV per cell

Lattice parameters (Å, degrees): 6.7915 6.7915 6.7915 147.89 129.37 61.22
Closest atoms and distances in Å follow each position.
Sites, in units of the cell vectors:
1 La 0.2698 0.7698 0.5000  2 Br 3.03
2 Tl 0.7489 0.2489 0.5000  4 La 3.47, 4 Tl 3.56-3.76, 2 Br 3.73
3 Tl 0.0077 0.0077 0.0000  4 Br 3.48, 4 Tl 3.56-3.76, 2 La 3.59
4 Br 0.4736 0.4736 0.0000  2 La 3.03

=====

6.
The following is a PBE calculation of a geometry-optimized LaTlBr structure, from Alexandria.

Output
energy above the lowest structure with this stoichiometry = 554 meV per atom
total magnetic moment = 0.00 μB/f.u.
ΔE_f (raw) = -530.2 meV per atom
E_tot = -10.56 eV per cell

Lattice parameters (Å, degrees): 5.1678 5.1678 5.1678 60.00 60.00 60.00
Closest atoms and distances in Å follow each position.
Sites, in units of the cell vectors:
1 Br 0.7500 0.7500 0.7500  4 La 3.16, 4 Tl 3.16
2 La 0.0000 0.0000 0.0000  4 Br 3.16
3 Tl 0.5000 0.5000 0.5000  4 Br 3.16

=====

7.
The following is a PBE calculation of a geometry-optimized LaTl2Br structure, from Alexandria.

Output
energy above the lowest structure with this stoichiometry = 115 meV per atom
total magnetic moment = 0.00 μB/f.u.
ΔE_f (raw) = -566.7 meV per atom
E_tot = -13.60 eV per cell

Lattice parameters (Å, degrees): 6.1302 3.9507 5.5885 90.01 90.00 90.00
Closest atoms and distances in Å follow each position.
Sites, in units of the cell vectors:
1 Br 0.0000 0.6252 0.5955  2 La 3.09, 2 Tl 3.28
2 Tl 0.5000 0.1242 0.1701  2 Tl 3.12, 4 La 3.42
3 La 0.5000 0.6248 0.6705  2 Br 3.09, 4 Tl 3.42
4 Tl 0.0000 0.1259 0.0639  2 Tl 3.12, 2 Br 3.28

=====

8.
The following is a PBE calculation of a geometry-optimized La2TlBr structure, from Alexandria.

Output
energy above the lowest structure with this stoichiometry = 83 meV per atom
total magnetic moment = 0.00 μB/f.u.
ΔE_f (raw) = -779.2 meV per atom
E_tot = -17.01 eV per cell

Lattice parameters (Å, degrees): 6.4898 6.4898 5.3385 89.99 89.99 34.16
Closest atoms and distances in Å follow each position.
Sites, in units of the cell vectors:
1 La 0.0063 0.0063 0.1248  1 Br 3.07, 4 Tl 3.29
2 Br 0.2541 0.2541 0.1252  5 La 3.07-3.28
3 La 0.7503 0.7503 0.6252  3 Tl 3.24-3.53, 4 Br 3.28
4 Tl 0.4894 0.4894 0.6248  7 La 3.24-3.53

=====

9.
The following is a PBE calculation of a geometry-optimized La2TlBr structure, from Alexandria.

Output
energy above the lowest structure with this stoichiometry = 82 meV per atom
total magnetic moment = 0.00 μB/f.u.
ΔE_f (raw) = -780.3 meV per atom
E_tot = -68.06 eV per cell

Lattice parameters (Å, degrees): 4.4876 5.1057 22.5601 90.00 90.00 90.00
Closest atoms and distances in Å follow each position.
Sites, in units of the cell vectors:
1 Br 0.2500 0.2511 0.7593  4 La 3.14-3.18, 4 Br 3.42
2 Br 0.2500 0.2489 0.2593  4 La 3.14-3.18, 4 Br 3.42
3 La 0.7500 0.7496 0.4827  4 Tl 3.23-3.56, 4 La 3.48-3.49
4 Tl 0.7500 0.2507 0.8950  6 La 3.23-3.61
5 La 0.7500 0.2510 0.6595  4 Br 3.14-3.18
6 La 0.7500 0.2490 0.1595  4 Br 3.14-3.18
7 Br 0.7500 0.7511 0.7407  4 La 3.14-3.18, 4 Br 3.42
8 Tl 0.7500 0.2493 0.3950  6 La 3.23-3.61
9 La 0.7500 0.7504 0.9827  4 Tl 3.23-3.56, 4 La 3.48-3.49
10 La 0.2500 0.7490 0.3405  4 Br 3.14-3.18
11 La 0.2500 0.2496 0.0173  4 Tl 3.23-3.56, 4 La 3.48-3.49
12 La 0.2500 0.7510 0.8405  4 Br 3.14-3.18
13 Br 0.7500 0.7489 0.2407  4 La 3.14-3.18, 4 Br 3.42
14 Tl 0.2500 0.7493 0.1050  6 La 3.23-3.61
15 Tl 0.2500 0.7507 0.6050  6 La 3.23-3.61
16 La 0.2500 0.2504 0.5173  4 Tl 3.23-3.56, 4 La 3.48-3.49

=====

10.
The following is a PBE calculation of a geometry-optimized LaTl2Br structure, from Alexandria.

Output
energy above the lowest structure with this stoichiometry = 0 meV per atom
total magnetic moment = 0.00 μB/f.u.
ΔE_f (raw) = -681.5 meV per atom
E_tot = -14.06 eV per cell

Lattice parameters (Å, degrees): 3.6593 3.6593 9.8246 90.00 90.00 90.00
Closest atoms and distances in Å follow each position.
Sites, in units of the cell vectors:
1 La 0.5000 0.5000 0.7476  4 Br 3.17, 4 Tl 3.42
2 Tl 0.0000 0.0000 0.9753  4 La 3.42, 8 Tl 3.50-3.66
3 Tl 0.5000 0.5000 0.2155  8 Tl 3.50-3.66
4 Br 0.0000 0.0000 0.5616  4 La 3.17

=====

11.
The following is a PBE calculation of a geometry-optimized La2TlBr structure, from Alexandria.

Output
energy above the lowest structure with this stoichiometry = 152 meV per atom
total magnetic moment = 0.00 μB/f.u.
ΔE_f (raw) = -710.3 meV per atom
E_tot = -16.74 eV per cell

Lattice parameters (Å, degrees): 5.5683 5.5683 5.5683 60.00 60.00 60.00
Closest atoms and distances in Å follow each position.
Sites, in units of the cell vectors:
1 Br 0.0000 0.0000 0.0000  8 La 3.41
2 La 0.7500 0.7500 0.7500  4 Tl 3.41, 4 Br 3.41
3 Tl 0.5000 0.5000 0.5000  8 La 3.41
4 La 0.2500 0.2500 0.2500  4 Tl 3.41, 4 Br 3.41

=====

12.
The following is a PBE calculation of a geometry-optimized La5TlBr5 structure, from Alexandria.

Output
total magnetic moment = 0.00 μB/f.u.
ΔE_f (raw) = -1266.0 meV per atom
E_tot = -49.29 eV per cell

Lattice parameters (Å, degrees): 6.1983 7.7427 8.6625 105.54 90.33 117.40
Closest atoms and distances in Å follow each position.
Sites, in units of the cell vectors:
1 Tl 0.0000 0.0000 0.0000  6 La 3.10-3.19
2 Br 0.3288 0.7021 0.6535  5 La 3.08-3.25
3 La 0.1940 0.3378 0.3394  5 Br 3.05-3.12, 1 Tl 3.14
4 La 0.8060 0.6622 0.6606  5 Br 3.05-3.12, 1 Tl 3.14
5 Br 0.6671 0.3152 0.8123  5 La 3.08-3.19
6 La 0.8073 0.6413 0.1625  5 Br 3.11-3.25, 1 Tl 3.19
7 La 0.5000 0.0000 0.0000  4 Br 3.08, 2 Tl 3.10
8 Br 0.0000 0.0000 0.5000  4 La 3.05-3.20
9 Br 0.3329 0.6848 0.1877  5 La 3.08-3.19
10 La 0.1927 0.3587 0.8375  5 Br 3.11-3.25, 1 Tl 3.19
11 Br 0.6712 0.2979 0.3465  5 La 3.08-3.25

=====

13.
The following is a PBE calculation of a geometry-optimized LaTlV2Br structure, from Alexandria.

Output
total magnetic moment = 7.77 μB/f.u.
ΔE_f (raw) = 1090.2 meV per atom
E_tot = -21.75 eV per cell

Lattice parameters (Å, degrees): 5.3933 5.8126 5.3933 90.00 90.00 90.00
Closest atoms and distances in Å follow each position.
Sites, in units of the cell vectors:
1 Br 0.0000 0.5000 0.0000  2 La 2.91
2 La 0.0000 0.0000 0.0000  4 V 2.70, 2 Br 2.91
3 Tl 0.5000 0.5000 0.5000  4 Br 3.81, 8 V 3.96
4 V 0.0000 0.0000 0.5000  2 La 2.70
5 V 0.5000 0.0000 0.0000  2 La 2.70

=====

14.
The following is a PBE calculation of a geometry-optimized LaTlZnBr2 structure, from Alexandria.

Output
total magnetic moment = 0.00 μB/f.u.
ΔE_f (raw) = -628.5 meV per atom
E_tot = -15.06 eV per cell

Lattice parameters (Å, degrees): 5.8047 6.2128 5.8047 90.00 90.00 90.00
Closest atoms and distances in Å follow each position.
Sites, in units of the cell vectors:
1 Tl 0.5000 0.5000 0.5000  4 Zn 4.10, 8 Br 4.25
2 La 0.0000 0.0000 0.0000  4 Br 2.90, 2 Zn 3.11
3 Zn 0.0000 0.5000 0.0000  2 La 3.11
4 Br 0.5000 0.0000 0.0000  2 La 2.90
5 Br 0.0000 0.0000 0.5000  2 La 2.90

=====

15.
The following is a PBE calculation of a geometry-optimized LaTmBr structure, from Alexandria.

Output
energy above the lowest structure with this stoichiometry = 0 meV per atom
total magnetic moment = 0.00 μB/f.u.
ΔE_f (raw) = -677.7 meV per atom
E_tot = -26.21 eV per cell

Lattice parameters (Å, degrees): 5.5798 3.6499 9.4026 78.81 90.00 90.00
Closest atoms and distances in Å follow each position.
Sites, in units of the cell vectors:
1 La 0.2500 0.1377 0.7246  5 Br 3.19-3.47
2 Tm 0.7500 0.5322 0.9355  1 Br 2.90, 2 Tm 3.03
3 Br 0.7500 0.6895 0.6211  1 Tm 2.90, 1 La 3.19
4 La 0.7500 0.8623 0.2754  5 Br 3.19-3.47
5 Br 0.2500 0.3105 0.3789  1 Tm 2.90, 1 La 3.19
6 Tm 0.2500 0.4678 0.0645  1 Br 2.90, 2 Tm 3.03

=====

16.
The following is a PBE calculation of a geometry-optimized LaTmBr structure, from Alexandria.

Output
energy above the lowest structure with this stoichiometry = 357 meV per atom
total magnetic moment = 0.00 μB/f.u.
ΔE_f (raw) = -320.5 meV per atom
E_tot = -12.03 eV per cell

Lattice parameters (Å, degrees): 3.8973 5.2551 5.2551 120.00 90.00 90.00
Closest atoms and distances in Å follow each position.
Sites, in units of the cell vectors:
1 Br 0.0684 0.0000 0.0000  3 Tm 3.08, 3 La 3.30
2 Tm 0.1993 0.3333 0.6667  3 Br 3.08
3 La 0.7323 0.6667 0.3333  3 Br 3.30, 6 Tm 3.54-3.68

=====

17.
The following is a PBE calculation of a geometry-optimized LaUBr6 structure, from Alexandria.

Output
energy above the lowest structure with this stoichiometry = 0 meV per atom
total magnetic moment = 3.23 μB/f.u.
ΔE_f (raw) = -1594.8 meV per atom
E_tot = -39.01 eV per cell

Lattice parameters (Å, degrees): 7.4457 7.4457 7.2960 97.83 97.83 121.17
Closest atoms and distances in Å follow each position.
Sites, in units of the cell vectors:
1 Br 0.2463 0.2463 0.7430  1 U 2.90, 1 La 2.94
2 Br 0.8944 0.5928 0.7495  1 U 2.92, 1 La 2.96
3 Br 0.5928 0.8944 0.7495  1 U 2.92, 1 La 2.96
4 Br 0.1056 0.4072 0.2505  1 U 2.92, 1 La 2.96
5 Br 0.7537 0.7537 0.2570  1 U 2.90, 1 La 2.94
6 La 0.0000 0.0000 0.0000  6 Br 2.94-2.96
7 U 0.5000 0.5000 0.5000  6 Br 2.90-2.92
8 Br 0.4072 0.1056 0.2505  1 U 2.92, 1 La 2.96

=====

18.
The following is a PBE calculation of a geometry-optimized LaUBr6 structure, from Alexandria.

Output
energy above the lowest structure with this stoichiometry = 8 meV per atom
total magnetic moment = 3.22 μB/f.u.
ΔE_f (raw) = -1586.7 meV per atom
E_tot = -38.95 eV per cell

Lattice parameters (Å, degrees): 7.2883 7.2877 7.9539 62.72 62.73 60.00
Closest atoms and distances in Å follow each position.
Sites, in units of the cell vectors:
1 U 0.0000 0.0000 0.0000  6 Br 2.92
2 Br 0.7527 0.0880 0.7515  1 U 2.92, 1 La 2.96
3 Br 0.0881 0.4078 0.7513  1 U 2.92, 1 La 2.96
4 Br 0.5924 0.2472 0.2486  1 U 2.92, 1 La 2.96
5 Br 0.4076 0.7528 0.7514  1 U 2.92, 1 La 2.96
6 La 0.5000 0.5000 0.5000  6 Br 2.96
7 Br 0.2473 0.9120 0.2485  1 U 2.92, 1 La 2.96
8 Br 0.9119 0.5922 0.2487  1 U 2.92, 1 La 2.96

=====

19.
The following is a PBE calculation of a geometry-optimized LaVBr2 structure, from Alexandria.

Output
energy above the lowest structure with this stoichiometry = 103 meV per atom
total magnetic moment = 4.15 μB/f.u.
ΔE_f (raw) = -402.1 meV per atom
E_tot = -38.00 eV per cell

Lattice parameters (Å, degrees): 4.9845 4.9845 9.9598 75.51 75.51 90.00
Closest atoms and distances in Å follow each position.
Sites, in units of the cell vectors:
1 Br 0.1512 0.6250 0.2500  2 V 2.87, 2 La 2.98
2 Br 0.8750 0.8488 0.7500  2 V 2.87, 2 La 2.98
3 Br 0.3750 0.4012 0.7500  2 V 2.87, 2 La 2.98
4 La 0.0000 0.0000 0.0000  4 Br 2.98
5 V 0.2500 0.7500 0.5000  4 Br 2.87
6 La 0.7500 0.2500 0.5000  4 Br 2.98
7 V 0.5000 0.5000 0.0000  4 Br 2.87
8 Br 0.5988 0.1250 0.2500  2 V 2.87, 2 La 2.98

=====

20.
The following is a PBE calculation of a geometry-optimized LaVBr2 structure, from Alexandria.

Output
energy above the lowest structure with this stoichiometry = 0 meV per atom
total magnetic moment = 3.80 μB/f.u.
ΔE_f (raw) = -505.0 meV per atom
E_tot = -19.41 eV per cell

Lattice parameters (Å, degrees): 9.8135 9.8135 9.8135 21.86 21.86 21.86
Closest atoms and distances in Å follow each position.
Sites, in units of the cell vectors:
1 Br 0.0899 0.0899 0.0899  1 V 2.58
2 La 0.5000 0.5000 0.5000  6 Br 3.08
3 V 0.0000 0.0000 0.0000  2 Br 2.58
4 Br 0.9101 0.9101 0.9101  1 V 2.58